Material: Ce3Sb3O
Method: DFT, PBE-GGA
State: optimized geometry

Cell and atoms, written as POSCAR:
```
Ce3Sb3O
1.0
12.664 0.000 0.000
0.000 4.384 0.000
0.000 0.000 13.622
Ce Sb O
12 12 4
Cartesian
0.093 1.096 2.176
1.308 1.096 8.587
2.964 1.096 12.055
3.367 3.288 5.244
5.023 3.288 1.776
6.239 3.288 8.987
6.424 1.096 4.635
7.640 1.096 11.846
9.296 1.096 8.377
9.699 3.288 1.566
11.355 3.288 5.035
12.571 3.288 11.446
0.909 1.096 5.374
1.806 3.288 0.368
3.124 3.288 9.762
3.208 1.096 2.951
4.526 1.096 7.179
5.423 3.288 12.185
7.240 1.096 1.437
8.138 3.288 6.443
9.456 3.288 10.671
9.540 1.096 3.860
10.857 1.096 13.254
11.755 3.288 8.248
0.858 1.096 10.920
5.474 3.288 4.109
7.189 1.096 9.512
11.806 3.288 2.702
```

Calculated values
energy relative to the elements, uncorrected = -10.1 eV/f.u.
DFT total energy = -6.4657 eV/atom
space-group type = No. 62
volume = 27.0 Å³/atom
total moment = 0.17 μB per atom
crystal system = orthorhombic

***

Material: Ce3SbO4
Method: DFT, PBE-GGA
State: optimized geometry

Cell and atoms, written as POSCAR:
```
Ce3SbO4
1.0
3.947 0.000 0.000
0.000 3.947 0.000
0.000 0.000 9.285
Ce Sb O
3 1 4
Cartesian
0.000 0.000 0.000
1.974 1.974 2.563
1.974 1.974 6.722
0.000 0.000 4.643
0.000 1.974 1.407
0.000 1.974 7.878
1.974 0.000 1.407
1.974 0.000 7.878
```

Calculated values
energy relative to the elements, uncorrected = -24.0 eV/f.u.
DFT total energy = -8.2159 eV/atom
space-group type = No. 123
volume = 18.1 Å³/atom
total moment = 0.17 μB per atom
crystal system = tetragonal

***

Material: Ce6SbO12
Method: DFT, PBE-GGA
State: optimized geometry

Cell and atoms, written as POSCAR:
```
Ce6SbO12
1.0
5.158 2.978 3.190
-5.158 2.978 3.190
0.000 -5.956 3.190
Ce Sb O
6 1 12
Cartesian
-3.589 -1.122 4.894
-0.823 -3.669 4.675
-2.766 2.547 4.675
2.766 -2.547 4.894
0.823 3.669 4.894
3.589 1.122 4.675
0.000 0.000 4.784
-4.387 1.007 4.163
-3.066 -3.296 5.406
-1.309 -1.583 3.772
1.321 -4.303 4.163
-2.025 0.342 5.797
-0.716 1.925 3.772
0.716 -1.925 5.797
2.025 -0.342 3.772
-1.321 4.303 5.406
1.309 1.583 5.797
3.066 3.296 4.163
4.387 -1.007 5.406
```

Calculated values
energy relative to the elements, uncorrected = -59.9 eV/f.u.
DFT total energy = -8.3762 eV/atom
space-group type = No. 148
volume = 15.5 Å³/atom
total moment = 0.17 μB per atom
crystal system = trigonal

***

Material: Ce3SbO3
Method: DFT, PBE-GGA
State: optimized geometry

Cell and atoms, written as POSCAR:
```
Ce3SbO3
1.0
3.450 1.992 7.538
-3.450 1.992 7.538
0.000 -3.984 7.538
Ce Sb O
6 2 6
Cartesian
-2.376 -0.008 9.010
-1.181 -2.061 13.603
1.195 -2.054 9.010
-1.195 2.054 13.603
1.181 2.061 9.010
2.376 0.008 13.603
0.000 0.000 3.766
0.000 0.000 18.847
-1.109 -1.955 8.433
-2.248 -0.017 14.180
-1.138 1.938 8.433
1.138 -1.938 14.180
2.248 0.017 8.433
1.109 1.955 14.180
```

Calculated values
energy relative to the elements, uncorrected = -18.4 eV/f.u.
DFT total energy = -7.8836 eV/atom
space-group type = No. 148
volume = 22.2 Å³/atom
total moment = 0.43 μB per atom
crystal system = trigonal

***

Material: Ce5Sb5O2
Method: DFT, PBE-GGA
State: optimized geometry

Cell and atoms, written as POSCAR:
```
Ce5Sb5O2
1.0
7.149 -2.054 0.000
7.149 2.054 0.000
-1.985 0.000 10.634
Ce Sb O
5 5 2
Cartesian
0.000 0.000 0.000
0.554 0.000 3.557
4.645 0.000 2.193
7.668 0.000 8.441
11.759 0.000 7.077
2.277 0.000 6.507
3.072 0.000 9.469
6.156 0.000 5.317
9.240 0.000 1.165
10.036 0.000 4.128
-0.756 0.000 8.606
13.069 0.000 2.029
```

Calculated values
energy relative to the elements, uncorrected = -18.2 eV/f.u.
DFT total energy = -6.5373 eV/atom
space-group type = No. 12
volume = 26.0 Å³/atom
total moment = 0.28 μB per atom
crystal system = monoclinic

***

Material: Ce5Sb5O
Method: DFT, PBE-GGA
State: optimized geometry

Cell and atoms, written as POSCAR:
```
Ce5Sb5O
1.0
6.820 -3.074 0.000
6.820 3.074 0.000
-3.068 0.000 7.936
Ce Sb O
5 5 1
Cartesian
0.000 0.000 0.000
4.242 0.000 1.134
2.664 0.000 5.657
7.908 0.000 2.279
6.330 0.000 6.802
-0.430 0.000 6.305
1.464 0.000 2.708
5.286 0.000 3.968
9.108 0.000 5.228
11.003 0.000 1.631
6.820 0.000 0.000
```

Calculated values
energy relative to the elements, uncorrected = -10.7 eV/f.u.
DFT total energy = -5.9932 eV/atom
space-group type = No. 12
volume = 30.3 Å³/atom
total moment = 0.30 μB per atom
crystal system = monoclinic

***

Material: Ce2SbO
Method: DFT, PBE-GGA
State: optimized geometry

Cell and atoms, written as POSCAR:
```
Ce2SbO
1.0
6.399 0.000 0.000
0.000 6.367 0.000
-5.364 0.000 10.624
Ce Sb O
8 4 4
Cartesian
-0.046 1.496 0.881
-2.728 4.871 6.194
-2.586 1.323 8.873
0.096 5.044 3.561
0.939 1.323 7.064
3.621 5.044 1.752
3.763 1.496 4.431
1.081 4.871 9.743
0.520 1.829 3.971
-2.162 4.538 9.283
3.197 1.829 1.341
0.515 4.538 6.653
-3.251 0.726 6.600
-0.569 5.641 1.287
1.603 0.726 9.337
4.286 5.641 4.025
```

Calculated values
energy relative to the elements, uncorrected = -6.8 eV/f.u.
DFT total energy = -6.9362 eV/atom
space-group type = No. 13
volume = 27.1 Å³/atom
total moment = 0.74 μB per atom
crystal system = monoclinic

***

Material: Ce5Sb2SeO
Method: DFT, PBE-GGA
State: optimized geometry

Cell and atoms, written as POSCAR:
```
Ce5Sb2SeO
1.0
4.621 0.000 0.000
0.000 4.621 0.000
0.000 0.000 11.324
Ce Sb Se O
5 2 1 1
Cartesian
0.000 0.000 0.000
0.000 2.311 5.662
2.311 0.000 5.662
2.311 2.311 2.903
2.311 2.311 8.420
0.000 0.000 3.264
0.000 0.000 8.060
2.311 2.311 0.000
2.311 2.311 5.662
```

Calculated values
energy relative to the elements, uncorrected = -13.0 eV/f.u.
DFT total energy = -6.5949 eV/atom
space-group type = No. 123
volume = 26.9 Å³/atom
total moment = 0.44 μB per atom
crystal system = tetragonal

***

Material: CeSmSbO6
Method: DFT, PBE-GGA
State: optimized geometry

Cell and atoms, written as POSCAR:
```
CeSmSbO6
1.0
5.662 0.000 0.000
-2.831 4.903 0.000
0.000 0.000 9.493
Ce Sm Sb O
2 2 2 12
Cartesian
0.000 0.000 0.000
0.000 0.000 4.747
0.000 3.269 2.373
2.831 1.634 7.120
0.000 3.269 7.120
2.831 1.634 2.373
-0.776 1.772 5.995
-1.684 3.345 8.245
0.776 1.772 8.245
-0.908 4.689 5.995
1.923 0.214 1.248
1.147 1.558 3.498
1.684 3.345 5.995
0.908 4.689 8.245
3.739 0.214 3.498
2.055 3.131 1.248
4.515 1.558 1.248
3.607 3.131 3.498
```

Calculated values
energy relative to the elements, uncorrected = -23.2 eV/f.u.
DFT total energy = -7.5201 eV/atom
space-group type = No. 163
volume = 14.6 Å³/atom
total moment = 0.00 μB per atom
crystal system = trigonal

***

Material: CeSmSbO2
Method: DFT, PBE-GGA
State: optimized geometry

Cell and atoms, written as POSCAR:
```
CeSmSbO2
1.0
-1.987 1.987 6.511
1.987 -1.987 6.511
1.987 1.987 -6.511
Ce Sm Sb O
1 1 1 2
Cartesian
0.000 0.000 0.000
0.000 0.000 8.894
0.000 0.000 4.454
1.987 0.000 1.158
0.000 1.987 1.158
```

Calculated values
energy relative to the elements, uncorrected = -13.3 eV/f.u.
DFT total energy = -7.6036 eV/atom
space-group type = No. 107
volume = 20.6 Å³/atom
total moment = 0.09 μB per atom
crystal system = tetragonal

***

Material: Ce4Sm2Sb3O2
Method: DFT, PBE-GGA
State: optimized geometry

Cell and atoms, written as POSCAR:
```
Ce4Sm2Sb3O2
1.0
-2.346 2.346 13.011
2.346 -2.346 13.011
2.346 2.346 -13.011
Ce Sm Sb O
4 2 3 2
Cartesian
2.346 0.000 2.200
2.346 0.000 10.811
0.000 2.346 2.200
0.000 2.346 10.811
0.000 0.000 5.158
0.000 0.000 20.864
0.000 0.000 8.371
0.000 0.000 13.011
0.000 0.000 17.652
0.000 0.000 2.663
0.000 0.000 23.359
```

Calculated values
energy relative to the elements, uncorrected = -17.5 eV/f.u.
DFT total energy = -6.6360 eV/atom
space-group type = No. 139
volume = 26.0 Å³/atom
total moment = 0.38 μB per atom
crystal system = tetragonal

***

Material: Sr2Ce4Sb3O2
Method: DFT, PBE-GGA
State: optimized geometry

Cell and atoms, written as POSCAR:
```
Sr2Ce4Sb3O2
1.0
-2.403 2.403 13.236
2.403 -2.403 13.236
2.403 2.403 -13.236
Sr Ce Sb O
2 4 3 2
Cartesian
0.000 0.000 5.207
0.000 0.000 21.265
2.403 0.000 2.163
2.403 0.000 11.073
0.000 2.403 2.163
0.000 2.403 11.073
0.000 0.000 8.668
0.000 0.000 13.236
0.000 0.000 17.804
0.000 0.000 2.547
0.000 0.000 23.925
```

Calculated values
energy relative to the elements, uncorrected = -18.0 eV/f.u.
DFT total energy = -6.1296 eV/atom
space-group type = No. 139
volume = 27.8 Å³/atom
total moment = 0.39 μB per atom
crystal system = tetragonal

***

Material: SrCeSbO6
Method: DFT, PBE-GGA
State: optimized geometry

Cell and atoms, written as POSCAR:
```
SrCeSbO6
1.0
5.752 0.000 0.000
-2.876 4.981 0.000
0.000 0.000 10.320
Sr Ce Sb O
2 2 2 12
Cartesian
0.000 0.000 0.000
0.000 0.000 5.160
0.000 3.321 2.580
2.876 1.660 7.740
0.000 3.321 7.740
2.876 1.660 2.580
-0.905 1.898 6.638
-1.685 3.248 8.843
0.905 1.898 8.843
-0.780 4.816 6.638
2.096 0.165 1.478
1.191 1.733 3.683
1.685 3.248 6.638
0.780 4.816 8.843
3.655 0.165 3.683
1.970 3.083 1.478
4.561 1.733 1.478
3.781 3.083 3.683
```

Calculated values
energy relative to the elements, uncorrected = -20.0 eV/f.u.
DFT total energy = -6.8370 eV/atom
space-group type = No. 163
volume = 16.4 Å³/atom
total moment = 0.12 μB per atom
crystal system = trigonal

***

Material: SrCe2SbO8
Method: DFT, PBE-GGA
State: optimized geometry

Cell and atoms, written as POSCAR:
```
SrCe2SbO8
1.0
3.591 -3.656 0.000
3.591 3.656 0.000
0.000 0.000 7.180
Sr Ce Sb O
1 2 1 8
Cartesian
0.000 0.000 0.000
3.591 0.000 1.793
3.591 0.000 5.387
0.000 0.000 3.590
1.376 0.000 2.130
1.376 0.000 5.050
3.591 1.598 3.590
3.591 1.260 0.000
3.591 -1.260 0.000
3.591 -1.598 3.590
5.806 0.000 2.130
5.806 0.000 5.050
```

Calculated values
energy relative to the elements, uncorrected = -30.0 eV/f.u.
DFT total energy = -7.2758 eV/atom
space-group type = No. 65
volume = 15.7 Å³/atom
total moment = 0.07 μB per atom
crystal system = orthorhombic

***

Material: TbCeSbO6
Method: DFT, PBE-GGA
State: optimized geometry

Cell and atoms, written as POSCAR:
```
TbCeSbO6
1.0
5.591 0.000 0.000
-2.795 4.842 0.000
0.000 0.000 9.572
Tb Ce Sb O
2 2 2 12
Cartesian
0.000 3.228 2.393
2.795 1.614 7.179
0.000 0.000 0.000
0.000 0.000 4.786
0.000 3.228 7.179
2.795 1.614 2.393
-0.801 1.745 6.057
-1.684 3.276 8.302
0.801 1.745 8.302
-0.884 4.663 6.057
1.912 0.179 1.271
1.111 1.566 3.515
1.684 3.276 6.057
0.884 4.663 8.302
3.679 0.179 3.515
1.995 3.096 1.271
4.480 1.566 1.271
3.596 3.096 3.515
```

Calculated values
energy relative to the elements, uncorrected = -23.5 eV/f.u.
DFT total energy = -7.5539 eV/atom
space-group type = No. 163
volume = 14.4 Å³/atom
total moment = 0.00 μB per atom
crystal system = trigonal

***

Material: TbCeSbO2
Method: DFT, PBE-GGA
State: optimized geometry

Cell and atoms, written as POSCAR:
```
TbCeSbO2
1.0
-1.970 1.970 6.460
1.970 -1.970 6.460
1.970 1.970 -6.460
Tb Ce Sb O
1 1 1 2
Cartesian
0.000 0.000 0.000
0.000 0.000 4.116
0.000 0.000 8.523
1.970 0.000 5.304
0.000 1.970 5.304
```

Calculated values
energy relative to the elements, uncorrected = -13.5 eV/f.u.
DFT total energy = -7.6106 eV/atom
space-group type = No. 107
volume = 20.1 Å³/atom
total moment = 0.10 μB per atom
crystal system = tetragonal

***

Material: CeSbTe2O
Method: DFT, PBE-GGA
State: optimized geometry

Cell and atoms, written as POSCAR:
```
CeSbTe2O
1.0
4.256 0.000 0.000
0.000 4.256 0.000
0.000 0.000 14.810
Ce Sb Te O
2 2 4 2
Cartesian
1.064 1.064 1.123
3.192 3.192 13.688
1.064 1.064 9.096
3.192 3.192 5.714
1.064 1.064 5.818
1.064 1.064 12.040
3.192 3.192 2.770
3.192 3.192 8.992
1.064 3.192 0.000
3.192 1.064 0.000
```

Calculated values
energy relative to the elements, uncorrected = -7.2 eV/f.u.
DFT total energy = -5.7062 eV/atom
space-group type = No. 129
volume = 26.8 Å³/atom
total moment = 0.13 μB per atom
crystal system = tetragonal

***

Material: CeTiSb2O
Method: DFT, PBE-GGA
State: optimized geometry

Cell and atoms, written as POSCAR:
```
CeTiSb2O
1.0
3.895 0.000 0.000
0.000 3.895 0.000
0.000 0.000 13.962
Ce Ti Sb O
2 2 4 2
Cartesian
0.974 0.974 1.264
2.921 2.921 12.698
0.974 0.974 7.979
2.921 2.921 5.983
0.974 0.974 5.167
0.974 0.974 10.821
2.921 2.921 3.141
2.921 2.921 8.795
0.974 2.921 0.000
2.921 0.974 0.000
```

Calculated values
energy relative to the elements, uncorrected = -7.3 eV/f.u.
DFT total energy = -6.8565 eV/atom
space-group type = No. 129
volume = 21.2 Å³/atom
total moment = 0.00 μB per atom
crystal system = tetragonal

***

Material: CeTl2SbO6
Method: DFT, PBE-GGA
State: optimized geometry

Cell and atoms, written as POSCAR:
```
CeTl2SbO6
1.0
6.014 0.000 0.000
0.000 8.515 0.000
0.000 0.000 6.013
Ce Tl Sb O
2 4 2 12
Cartesian
1.503 2.129 1.506
4.510 6.386 4.508
1.503 8.514 4.513
1.503 4.258 4.513
4.510 0.001 1.501
4.510 4.256 1.501
1.503 6.386 1.502
4.510 2.129 4.512
0.080 6.386 0.076
0.078 6.386 2.925
1.503 4.370 1.502
1.503 8.402 1.502
2.927 6.386 0.076
2.929 6.386 2.925
3.085 2.129 3.088
3.087 2.129 5.937
4.510 0.113 4.511
4.510 4.145 4.511
5.936 2.129 3.088
5.934 2.129 5.937
```

Calculated values
energy relative to the elements, uncorrected = -16.7 eV/f.u.
DFT total energy = -6.1277 eV/atom
space-group type = No. 59
volume = 15.4 Å³/atom
total moment = 0.00 μB per atom
crystal system = orthorhombic